The following is a DFT calculation (PBE) of crystalline Ba3Pr3YS8 at its relaxed geometry.

Cell: 8.3667 8.3667 21.9079 Å, 90.00 90.00 120.00°
Space group R-3m (No. 166, hexagonal axes)
Unique sites:
Ba  0.0000  0.5000  0.0000 (multiplicity 9)
Pr  0.0000  0.5000  0.5000 (multiplicity 9)
Y  0.0000  0.0000  0.5000 (multiplicity 3)
S  0.0000  0.0000  0.2411 (multiplicity 6)
S  0.0122  0.5061  0.2372 (multiplicity 18)

Output
Raw total energy (eV per atom): -6.0282
N(E_F) (states/eV/cell): 10.96
V (A^3/atom): 29.52
Energy relative to the elements, uncorrected (eV per atom): -2.06


The following is a DFT calculation (PBE) of crystalline Ba2PrYS4 at its relaxed geometry.

Cell: 7.266 4.197 7.554 Å, 90.00 108.69 90.00°
Space group P2/m (No. 10)
Unique sites:
Ba  0.000  0.000  0.000 (multiplicity 1)
Ba  0.500  0.500  0.000 (multiplicity 1)
Pr  0.000  0.500  0.500 (multiplicity 1)
Y  0.500  0.000  0.500 (multiplicity 1)
S  0.248  0.000  0.718 (multiplicity 2)
S  0.270  0.500  0.287 (multiplicity 2)

Output
Raw total energy (eV per atom): -5.9622
N(E_F) (states/eV/cell): 3.66
V (A^3/atom): 27.28
Energy relative to the elements, uncorrected (eV per atom): -2.01


The following is a DFT calculation (PBE) of crystalline BaPr5Sb6 at its relaxed geometry.

Cell: 8.009 13.906 8.010 Å, 90.00 109.60 90.00°
Space group C2/m (No. 12)
Unique sites:
Ba  0.000  0.000  0.000 (multiplicity 2)
Pr  0.000  0.162  0.500 (multiplicity 4)
Pr  0.000  0.332  0.000 (multiplicity 4)
Pr  0.000  0.500  0.500 (multiplicity 2)
Sb  0.238  0.500  0.255 (multiplicity 4)
Sb  0.240  0.327  0.741 (multiplicity 8)

Output
Raw total energy (eV per atom): -5.3185
N(E_F) (states/eV/cell): 10.83
V (A^3/atom): 35.02
Energy relative to the elements, uncorrected (eV per atom): -1.11